## ZnPt2Pb2 (GGA-PBE)

Data for an optimized crystal structure of ZnPt2Pb2.

crystal system	tetragonal
energy relative to the lowest polymorph listed for this composition	140	meV per atom
ρ	12.13	g/cm³
calculated total energy	-20.648	eV per cell

a = 8.251 Å, b = 8.251 Å, c = 8.251 Å
α = 152.56°, β = 152.56°, γ = 39.19°
Sites, in units of the cell vectors:
1 Zn 0.000 0.000 0.000
2 Pt 0.250 0.750 0.500
3 Pt 0.750 0.250 0.500
4 Pb 0.384 0.384 0.000
5 Pb 0.616 0.616 0.000